# Ta2BeTl | the Alexandria database | PBE | relaxed
# E_tot   -6.960 eV per atom
# DFT formation energy   0.489 eV/atom
# DOS(E_F)   5.6 states/eV/cell
# Energy above the most stable polymorph in this dataset   186.1 meV/atom
data_Ta2BeTl
_symmetry_space_group_name_H-M 'I m m 2'
_symmetry_Int_Tables_number 44
_cell_length_a 3.436
_cell_length_b 4.607
_cell_length_c 8.659
_cell_angle_alpha 90.00
_cell_angle_beta 90.00
_cell_angle_gamma 90.00
loop_
_symmetry_equiv_pos_as_xyz
'x,y,z'
'-x,-y,z'
'-x,y,z'
'x,-y,z'
'x+1/2,y+1/2,z+1/2'
'-x+1/2,-y+1/2,z+1/2'
'-x+1/2,y+1/2,z+1/2'
'x+1/2,-y+1/2,z+1/2'
loop_
_atom_site_label
_atom_site_type_symbol
_atom_site_fract_x
_atom_site_fract_y
_atom_site_fract_z
Ta1 Ta 0.000 0.000 0.000
Ta2 Ta 0.000 0.500 0.229
Be1 Be 0.000 0.000 0.500
Tl1 Tl 0.000 0.500 0.779